First-principles (PBE-GGA) data for a relaxed structure of RbTcPb, as listed in the Open Quantum Materials Database.

Results
DFT total energy in eV/cell: -9.3
Relative energy among the computed polymorphs in meV per atom: 615.7
Total magnetic moment in μB/cell: 3.30
Symmetry: F-43m (216)

a b c (Å): 5.4310 5.4310 5.4310
angles (deg): 60.00 60.00 60.00
Last column: nearest neighbours and their distance in Å.
Positions (direct):
Tc1 0.7500 0.7500 0.7500  4 Rb 3.33
Rb1 0.0000 0.0000 0.0000  4 Tc 3.33, 4 Pb 3.33
Pb1 0.2500 0.2500 0.2500  4 Rb 3.33